VASP calculation (meta-GGA SCAN) on a PBEsol-optimized structure of Na3Cr2As3O12.

VASP energy = -11.18 eV/atom
raw formation energy = -187 kJ/mol of atoms
total moment = 24.0 Bohr magnetons per cell

Unit cell a=10.5418 b=10.5418 c=10.5418 alpha=109.47 beta=109.47 gamma=109.47
With the nearest neighbours (Å) after each atom.
Atoms (fractional coordinates):
Na  0.8750  0.6250  0.2500  8 O 2.39-2.52
Na  0.6250  0.8750  0.7500  8 O 2.39-2.52
Na  0.6250  0.7500  0.3750  8 O 2.39-2.52
Na  0.8750  0.2500  0.1250  8 O 2.39-2.52
Na  0.2500  0.6250  0.3750  8 O 2.39-2.52
Na  0.7500  0.8750  0.1250  8 O 2.39-2.52
Na  0.1250  0.3750  0.7500  8 O 2.39-2.52
Na  0.3750  0.1250  0.2500  8 O 2.39-2.52
Na  0.3750  0.2500  0.6250  8 O 2.39-2.52
Na  0.1250  0.7500  0.8750  8 O 2.39-2.52
Na  0.7500  0.3750  0.6250  8 O 2.39-2.52
Na  0.2500  0.1250  0.8750  8 O 2.39-2.52
Cr  0.0000  0.0000  0.5000  6 O 1.97
Cr  0.0000  0.5000  0.0000  6 O 1.97
Cr  0.5000  0.5000  0.5000  6 O 1.97
Cr  0.5000  0.0000  0.0000  6 O 1.97
Cr  0.5000  0.5000  0.0000  6 O 1.97
Cr  0.5000  0.0000  0.5000  6 O 1.97
Cr  0.0000  0.5000  0.5000  6 O 1.97
Cr  0.0000  0.0000  0.0000  6 O 1.97
As  0.6250  0.3750  0.2500  4 O 1.72
As  0.8750  0.1250  0.7500  4 O 1.72
As  0.3750  0.7500  0.1250  4 O 1.72
As  0.1250  0.2500  0.3750  4 O 1.72
As  0.2500  0.8750  0.6250  4 O 1.72
As  0.7500  0.6250  0.8750  4 O 1.72
As  0.3750  0.6250  0.7500  4 O 1.72
As  0.1250  0.8750  0.2500  4 O 1.72
As  0.6250  0.2500  0.8750  4 O 1.72
As  0.8750  0.7500  0.6250  4 O 1.72
As  0.7500  0.1250  0.3750  4 O 1.72
As  0.2500  0.3750  0.1250  4 O 1.72
O  0.9150  0.3127  0.8014  1 As 1.72
O  0.0113  0.1136  0.6986  1 As 1.72
O  0.4887  0.1873  0.1023  1 As 1.72
O  0.5850  0.3864  0.3977  1 As 1.72
O  0.1136  0.1986  0.5113  1 As 1.72
O  0.3127  0.3014  0.4150  1 As 1.72
O  0.3864  0.8977  0.0850  1 As 1.72
O  0.1873  0.6023  0.9887  1 As 1.72
O  0.6023  0.4887  0.6873  1 As 1.72
O  0.8977  0.5850  0.8864  1 As 1.72
O  0.3014  0.9150  0.8127  1 As 1.72
O  0.1986  0.0113  0.6136  1 As 1.72
O  0.0850  0.6873  0.1986  1 As 1.72
O  0.9887  0.8864  0.3014  1 As 1.72
O  0.5113  0.8127  0.8977  1 As 1.72
O  0.4150  0.6136  0.6023  1 As 1.72
O  0.8864  0.8014  0.4887  1 As 1.72
O  0.6873  0.6986  0.5850  1 As 1.72
O  0.6136  0.1023  0.9150  1 As 1.72
O  0.8127  0.3977  0.0113  1 As 1.72
O  0.3977  0.5113  0.3127  1 As 1.72
O  0.1023  0.4150  0.1136  1 As 1.72
O  0.6986  0.0850  0.1873  1 As 1.72
O  0.8014  0.9887  0.3864  1 As 1.72
O  0.4150  0.8014  0.3127  1 As 1.72
O  0.5113  0.6986  0.1136  1 As 1.72
O  0.9887  0.1023  0.1873  1 As 1.72
O  0.0850  0.3977  0.3864  1 As 1.72
O  0.6136  0.5113  0.1986  1 As 1.72
O  0.8127  0.4150  0.3014  1 As 1.72
O  0.8864  0.0850  0.8977  1 As 1.72
O  0.6873  0.9887  0.6023  1 As 1.72
O  0.1023  0.6873  0.4887  1 As 1.72
O  0.3977  0.8864  0.5850  1 As 1.72
O  0.8014  0.8127  0.9150  1 As 1.72
O  0.6986  0.6136  0.0113  1 As 1.72
O  0.5850  0.1986  0.6873  1 As 1.72
O  0.4887  0.3014  0.8864  1 As 1.72
O  0.0113  0.8977  0.8127  1 As 1.72
O  0.9150  0.6023  0.6136  1 As 1.72
O  0.3864  0.4887  0.8014  1 As 1.72
O  0.1873  0.5850  0.6986  1 As 1.72
O  0.1136  0.9150  0.1023  1 As 1.72
O  0.3127  0.0113  0.3977  1 As 1.72
O  0.8977  0.3127  0.5113  1 As 1.72
O  0.6023  0.1136  0.4150  1 As 1.72
O  0.1986  0.1873  0.0850  1 As 1.72
O  0.3014  0.3864  0.9887  1 As 1.72